{
  "formula": "TlCoMo2",
  "functional": "GGA-PBE",
  "state": "relaxed",
  "lattice_angstrom": [[0.000, 3.181, 3.181], [3.181, 0.000, 3.181], [3.181, 3.181, 0.000]],
  "species": ["Co", "Mo", "Tl", "Mo"],
  "fractional_positions": [[0.250, 0.250, 0.250], [0.750, 0.750, 0.750], [0.500, 0.500, 0.500], [0.000, 0.000, 0.000]],
  "e_tot_ev_per_atom": -7.145
}


{
  "formula": "TlCoMoW",
  "functional": "GGA-PBE",
  "state": "relaxed",
  "lattice_angstrom": [[0.000, 3.178, 3.178], [3.178, 0.000, 3.178], [3.178, 3.178, 0.000]],
  "species": ["Tl", "Mo", "Co", "W"],
  "fractional_positions": [[0.000, 0.000, 0.000], [0.250, 0.250, 0.250], [0.750, 0.750, 0.750], [0.500, 0.500, 0.500]],
  "e_above_lowest_polymorph_kj_per_mol_atoms": 0.0,
  "e_tot_ev_per_atom": -7.657
}